Record 1
# Sm2TiCu

Crystalline Sm2TiCu at its relaxed geometry (GGA-PBE, Alexandria).

a = 3.275 Å, b = 3.275 Å, c = 31.921 Å
α = 90.00°, β = 90.00°, γ = 120.00°
Fractional positions:
1 Sm 0.000 0.000 0.094
2 Sm 0.000 0.000 0.906
3 Sm 0.333 0.667 0.573
4 Sm 0.333 0.667 0.761
5 Sm 0.667 0.333 0.239
6 Sm 0.667 0.333 0.427
7 Ti 0.000 0.000 0.000
8 Ti 0.333 0.667 0.667
9 Ti 0.667 0.333 0.333
10 Cu 0.000 0.000 0.500
11 Cu 0.333 0.667 0.167
12 Cu 0.667 0.333 0.833

Computed properties:
- V: 296.6 Å³ per cell
- Relative energy among the computed polymorphs: 418 meV per atom
- SG: R-3m (166)

Record 2
# Sm2TiZn12Cu3

Crystalline Sm2TiZn12Cu3 at its relaxed geometry (GGA-PBE, Alexandria).

a = 8.359 Å, b = 8.359 Å, c = 8.359 Å
α = 53.24°, β = 53.24°, γ = 53.24°
Fractional positions:
1 Sm 0.088 0.088 0.088
2 Sm 0.912 0.912 0.912
3 Ti 0.500 0.500 0.500
4 Zn 0.034 0.667 0.667
5 Zn 0.280 0.280 0.635
6 Zn 0.280 0.635 0.280
7 Zn 0.333 0.333 0.966
8 Zn 0.333 0.966 0.333
9 Zn 0.365 0.720 0.720
10 Zn 0.635 0.280 0.280
11 Zn 0.667 0.034 0.667
12 Zn 0.667 0.667 0.034
13 Zn 0.720 0.365 0.720
14 Zn 0.720 0.720 0.365
15 Zn 0.966 0.333 0.333
16 Cu 0.000 0.500 0.500
17 Cu 0.500 0.000 0.500
18 Cu 0.500 0.500 0.000

Computed properties:
- V: 347.7 Å³ per cell
- SG: R-3m (166)
- Total DFT energy (no corrections): -41.9 eV/cell

Record 3
# SmTiZnCu

Crystalline SmTiZnCu at its relaxed geometry (GGA-PBE, Alexandria).

a = 6.764 Å, b = 6.764 Å, c = 6.764 Å
α = 90.00°, β = 90.00°, γ = 90.00°
Fractional positions:
1 Sm 0.000 0.000 0.000
2 Sm 0.000 0.500 0.500
3 Sm 0.500 0.000 0.500
4 Sm 0.500 0.500 0.000
5 Ti 0.000 0.000 0.500
6 Ti 0.000 0.500 0.000
7 Ti 0.500 0.000 0.000
8 Ti 0.500 0.500 0.500
9 Zn 0.250 0.250 0.250
10 Zn 0.250 0.750 0.750
11 Zn 0.750 0.250 0.750
12 Zn 0.750 0.750 0.250
13 Cu 0.250 0.250 0.750
14 Cu 0.250 0.750 0.250
15 Cu 0.750 0.250 0.250
16 Cu 0.750 0.750 0.750

Computed properties:
- V: 309.5 Å³ per cell
- SG: F-43m (216)
- Total DFT energy (no corrections): -72.5 eV/cell

Record 4
# Sm2Tl3Cu

Crystalline Sm2Tl3Cu at its relaxed geometry (GGA-PBE, Alexandria).

a = 3.724 Å, b = 4.882 Å, c = 8.567 Å
α = 90.00°, β = 90.00°, γ = 90.00°
Fractional positions:
1 Sm 0.000 0.000 0.000
2 Sm 0.000 0.500 0.477
3 Tl 0.500 0.000 0.624
4 Tl 0.500 0.500 0.173
5 Tl 0.500 0.500 0.824
6 Cu 0.500 0.000 0.308

Computed properties:
- V: 155.7 Å³ per cell
- SG: Pmm2 (25)
- Total DFT energy (no corrections): -22.0 eV/cell

Record 5
# Sm3TlCu

Crystalline Sm3TlCu at its relaxed geometry (GGA-PBE, Alexandria).

a = 8.697 Å, b = 8.697 Å, c = 7.879 Å
α = 90.02°, β = 90.02°, γ = 83.31°
Fractional positions:
1 Sm 0.020 0.201 0.406
2 Sm 0.072 0.428 0.796
3 Sm 0.201 0.020 0.906
4 Sm 0.299 0.480 0.406
5 Sm 0.428 0.072 0.296
6 Sm 0.480 0.299 0.906
7 Sm 0.520 0.701 0.094
8 Sm 0.572 0.928 0.704
9 Sm 0.701 0.520 0.594
10 Sm 0.799 0.980 0.094
11 Sm 0.928 0.572 0.204
12 Sm 0.980 0.799 0.594
13 Tl 0.171 0.829 0.250
14 Tl 0.329 0.671 0.750
15 Tl 0.671 0.329 0.250
16 Tl 0.829 0.171 0.750
17 Cu 0.194 0.305 0.119
18 Cu 0.305 0.194 0.619
19 Cu 0.695 0.806 0.381
20 Cu 0.806 0.695 0.881

Computed properties:
- V: 591.9 Å³ per cell
- SG: C2/c (15)
- Total DFT energy (no corrections): -84.6 eV/cell

Record 6
# Sm3TlCu2

Crystalline Sm3TlCu2 at its relaxed geometry (GGA-PBE, Alexandria).

a = 3.574 Å, b = 3.574 Å, c = 11.512 Å
α = 90.00°, β = 90.00°, γ = 90.00°
Fractional positions:
1 Sm 0.000 0.000 0.000
2 Sm 0.000 0.000 0.307
3 Sm 0.000 0.000 0.693
4 Tl 0.500 0.500 0.500
5 Cu 0.500 0.500 0.152
6 Cu 0.500 0.500 0.848

Computed properties:
- V: 147.0 Å³ per cell
- Relative energy among the computed polymorphs: 0 meV per atom
- SG: P4/mmm (123)

Record 7
# Sm4Tl3Cu

Crystalline Sm4Tl3Cu at its relaxed geometry (GGA-PBE, Alexandria).

a = 3.917 Å, b = 4.876 Å, c = 11.921 Å
α = 90.00°, β = 90.00°, γ = 90.00°
Fractional positions:
1 Sm 0.000 0.000 0.000
2 Sm 0.000 0.500 0.271
3 Sm 0.500 0.000 0.461
4 Sm 0.500 0.500 0.779
5 Tl 0.000 0.000 0.715
6 Tl 0.000 0.500 0.542
7 Tl 0.500 0.500 0.050
8 Cu 0.500 0.000 0.204

Computed properties:
- V: 227.7 Å³ per cell
- Relative energy among the computed polymorphs: 64 meV per atom
- SG: Pmm2 (25)

Record 8
# Sm4TlCu

Crystalline Sm4TlCu at its relaxed geometry (GGA-PBE, Alexandria).

a = 5.464 Å, b = 7.207 Å, c = 8.810 Å
α = 90.00°, β = 99.45°, γ = 90.00°
Fractional positions:
1 Sm 0.142 0.250 0.045
2 Sm 0.207 0.750 0.371
3 Sm 0.328 0.518 0.742
4 Sm 0.328 0.982 0.742
5 Sm 0.672 0.018 0.258
6 Sm 0.672 0.482 0.258
7 Sm 0.793 0.250 0.629
8 Sm 0.858 0.750 0.955
9 Tl 0.228 0.250 0.417
10 Tl 0.772 0.750 0.583
11 Cu 0.369 0.750 0.051
12 Cu 0.631 0.250 0.949

Computed properties:
- V: 342.2 Å³ per cell
- Relative energy among the computed polymorphs: 0 meV per atom
- SG: P2_1/m (11)

Record 9
# SmTlCu

Crystalline SmTlCu at its relaxed geometry (GGA-PBE, Alexandria).

a = 6.670 Å, b = 6.670 Å, c = 6.670 Å
α = 90.00°, β = 90.00°, γ = 90.00°
Fractional positions:
1 Sm 0.000 0.000 0.000
2 Sm 0.000 0.500 0.500
3 Sm 0.500 0.000 0.500
4 Sm 0.500 0.500 0.000
5 Tl 0.000 0.000 0.500
6 Tl 0.000 0.500 0.000
7 Tl 0.500 0.000 0.000
8 Tl 0.500 0.500 0.500
9 Cu 0.250 0.250 0.250
10 Cu 0.250 0.750 0.750
11 Cu 0.750 0.250 0.750
12 Cu 0.750 0.750 0.250

Computed properties:
- V: 296.7 Å³ per cell
- SG: F-43m (216)
- Total DFT energy (no corrections): -47.2 eV/cell

Record 10
# Sm5TlCu2

Crystalline Sm5TlCu2 at its relaxed geometry (GGA-PBE, Alexandria).

a = 8.725 Å, b = 8.725 Å, c = 8.725 Å
α = 124.56°, β = 124.56°, γ = 82.27°
Fractional positions:
1 Sm 0.000 0.000 0.000
2 Sm 0.012 0.512 0.808
3 Sm 0.203 0.012 0.500
4 Sm 0.297 0.797 0.808
5 Sm 0.488 0.297 0.500
6 Sm 0.500 0.500 0.000
7 Sm 0.512 0.703 0.500
8 Sm 0.703 0.203 0.192
9 Sm 0.797 0.988 0.500
10 Sm 0.988 0.488 0.192
11 Tl 0.250 0.250 0.000
12 Tl 0.750 0.750 0.000
13 Cu 0.129 0.371 0.500
14 Cu 0.371 0.871 0.241
15 Cu 0.629 0.129 0.759
16 Cu 0.871 0.629 0.500

Computed properties:
- V: 433.0 Å³ per cell
- SG: I4/mcm (140)
- Total DFT energy (no corrections): -71.2 eV/cell

Record 11
# SmTlCu

Crystalline SmTlCu at its relaxed geometry (GGA-PBE, Alexandria).

a = 4.691 Å, b = 4.691 Å, c = 3.710 Å
α = 90.00°, β = 90.00°, γ = 120.00°
Fractional positions:
1 Sm 0.000 0.000 0.000
2 Tl 0.667 0.333 0.500
3 Cu 0.333 0.667 0.500

Computed properties:
- V: 70.7 Å³ per cell
- SG: P-6m2 (187)
- Total DFT energy (no corrections): -11.8 eV/cell

Record 12
# Sm6Tl2Cu

Crystalline Sm6Tl2Cu at its relaxed geometry (GGA-PBE, Alexandria).

a = 8.973 Å, b = 8.973 Å, c = 3.789 Å
α = 90.00°, β = 90.00°, γ = 120.00°
Fractional positions:
1 Sm 0.000 0.400 0.000
2 Sm 0.000 0.753 0.500
3 Sm 0.247 0.247 0.500
4 Sm 0.400 0.000 0.000
5 Sm 0.600 0.600 0.000
6 Sm 0.753 0.000 0.500
7 Tl 0.333 0.667 0.500
8 Tl 0.667 0.333 0.500
9 Cu 0.000 0.000 0.000

Computed properties:
- V: 264.2 Å³ per cell
- Relative energy among the computed polymorphs: 0 meV per atom
- SG: P-62m (189)

Record 13
# Sm3Tl4Cu2

Crystalline Sm3Tl4Cu2 at its relaxed geometry (GGA-PBE, Alexandria).

a = 6.074 Å, b = 6.074 Å, c = 9.205 Å
α = 112.21°, β = 112.21°, γ = 46.76°
Fractional positions:
1 Sm 0.000 0.000 0.000
2 Sm 0.333 0.333 0.349
3 Sm 0.667 0.667 0.651
4 Tl 0.047 0.047 0.368
5 Tl 0.270 0.270 0.913
6 Tl 0.730 0.730 0.087
7 Tl 0.953 0.953 0.632
8 Cu 0.398 0.398 0.720
9 Cu 0.602 0.602 0.280

Computed properties:
- V: 225.5 Å³ per cell
- SG: C2/m (12)
- Total DFT energy (no corrections): -34.0 eV/cell

Record 14
# Sm3Tl2Cu

Crystalline Sm3Tl2Cu at its relaxed geometry (GGA-PBE, Alexandria).

a = 8.394 Å, b = 8.394 Å, c = 6.656 Å
α = 102.13°, β = 102.13°, γ = 45.35°
Fractional positions:
1 Sm 0.134 0.866 0.750
2 Sm 0.243 0.444 0.409
3 Sm 0.444 0.243 0.909
4 Sm 0.556 0.757 0.091
5 Sm 0.757 0.556 0.591
6 Sm 0.866 0.134 0.250
7 Tl 0.056 0.277 0.047
8 Tl 0.277 0.056 0.547
9 Tl 0.723 0.944 0.453
10 Tl 0.944 0.723 0.953
11 Cu 0.356 0.644 0.250
12 Cu 0.644 0.356 0.750

Computed properties:
- V: 324.8 Å³ per cell
- SG: C2/c (15)
- Total DFT energy (no corrections): -48.4 eV/cell

Record 15
# Sm12Tl3Cu

Crystalline Sm12Tl3Cu at its relaxed geometry (GGA-PBE, Alexandria).

a = 4.928 Å, b = 4.928 Å, c = 19.406 Å
α = 90.00°, β = 90.00°, γ = 90.00°
Fractional positions:
1 Sm 0.000 0.000 0.000
2 Sm 0.000 0.000 0.242
3 Sm 0.000 0.000 0.500
4 Sm 0.000 0.000 0.758
5 Sm 0.000 0.500 0.116
6 Sm 0.000 0.500 0.372
7 Sm 0.000 0.500 0.628
8 Sm 0.000 0.500 0.884
9 Sm 0.500 0.000 0.116
10 Sm 0.500 0.000 0.372
11 Sm 0.500 0.000 0.628
12 Sm 0.500 0.000 0.884
13 Tl 0.500 0.500 0.245
14 Tl 0.500 0.500 0.500
15 Tl 0.500 0.500 0.755
16 Cu 0.500 0.500 0.000

Computed properties:
- V: 471.3 Å³ per cell
- SG: P4/mmm (123)
- Total DFT energy (no corrections): -69.6 eV/cell

Record 16
# Sm4Tl3Cu

Crystalline Sm4Tl3Cu at its relaxed geometry (GGA-PBE, Alexandria).

a = 3.644 Å, b = 3.644 Å, c = 16.421 Å
α = 90.00°, β = 90.00°, γ = 90.00°
Fractional positions:
1 Sm 0.000 0.000 0.105
2 Sm 0.000 0.000 0.368
3 Sm 0.000 0.000 0.632
4 Sm 0.000 0.000 0.895
5 Tl 0.500 0.500 0.236
6 Tl 0.500 0.500 0.500
7 Tl 0.500 0.500 0.764
8 Cu 0.500 0.500 0.000

Computed properties:
- V: 218.1 Å³ per cell
- Relative energy among the computed polymorphs: 0 meV per atom
- SG: P4/mmm (123)

Record 17
# SmTl2Cu

Crystalline SmTl2Cu at its relaxed geometry (GGA-PBE, Alexandria).

a = 4.608 Å, b = 4.608 Å, c = 16.087 Å
α = 90.00°, β = 90.00°, γ = 120.00°
Fractional positions:
1 Sm 0.000 0.000 0.000
2 Sm 0.333 0.667 0.667
3 Sm 0.667 0.333 0.333
4 Tl 0.000 0.000 0.224
5 Tl 0.000 0.000 0.776
6 Tl 0.333 0.667 0.442
7 Tl 0.333 0.667 0.891
8 Tl 0.667 0.333 0.109
9 Tl 0.667 0.333 0.558
10 Cu 0.000 0.000 0.500
11 Cu 0.333 0.667 0.167
12 Cu 0.667 0.333 0.833

Computed properties:
- V: 295.9 Å³ per cell
- SG: R-3m (166)
- Total DFT energy (no corrections): -41.8 eV/cell

Record 18
# SmTl2Cu

Crystalline SmTl2Cu at its relaxed geometry (GGA-PBE, Alexandria).

a = 4.677 Å, b = 4.677 Å, c = 4.454 Å
α = 90.00°, β = 90.00°, γ = 90.00°
Fractional positions:
1 Sm 0.000 0.000 0.000
2 Tl 0.000 0.500 0.500
3 Tl 0.500 0.000 0.500
4 Cu 0.500 0.500 0.000

Computed properties:
- V: 97.4 Å³ per cell
- SG: P4/mmm (123)
- Total DFT energy (no corrections): -13.9 eV/cell

Record 19
# SmTlCu

Crystalline SmTlCu at its relaxed geometry (GGA-PBE, Alexandria).

a = 4.649 Å, b = 4.868 Å, c = 6.491 Å
α = 90.00°, β = 110.46°, γ = 90.00°
Fractional positions:
1 Sm 0.109 0.250 0.223
2 Sm 0.891 0.750 0.777
3 Tl 0.385 0.250 0.788
4 Tl 0.615 0.750 0.212
5 Cu 0.257 0.750 0.481
6 Cu 0.743 0.250 0.519

Computed properties:
- V: 137.6 Å³ per cell
- SG: P2_1/m (11)
- Total DFT energy (no corrections): -23.7 eV/cell

Record 20
# Sm6TlCu2

Crystalline Sm6TlCu2 at its relaxed geometry (GGA-PBE, Alexandria).

a = 8.728 Å, b = 8.728 Å, c = 8.728 Å
α = 113.81°, β = 108.86°, γ = 105.84°
Fractional positions:
1 Sm 0.038 0.237 0.802
2 Sm 0.185 0.284 0.469
3 Sm 0.185 0.716 0.902
4 Sm 0.321 0.016 0.695
5 Sm 0.321 0.626 0.305
6 Sm 0.435 0.237 0.198
7 Sm 0.565 0.763 0.802
8 Sm 0.679 0.374 0.695
9 Sm 0.679 0.984 0.305
10 Sm 0.815 0.284 0.098
11 Sm 0.815 0.716 0.531
12 Sm 0.962 0.763 0.198
13 Tl 0.000 0.000 0.000
14 Tl 0.500 0.500 0.000
15 Cu 0.117 0.617 0.500
16 Cu 0.353 0.000 0.353
17 Cu 0.647 0.000 0.647
18 Cu 0.883 0.383 0.500

Computed properties:
- V: 509.3 Å³ per cell
- SG: Immm (71)
- Total DFT energy (no corrections): -80.7 eV/cell

Record 21
# Sm3Tl3Cu2

Crystalline Sm3Tl3Cu2 at its relaxed geometry (GGA-PBE, Alexandria).

a = 4.588 Å, b = 4.927 Å, c = 9.231 Å
α = 75.22°, β = 75.75°, γ = 89.99°
Fractional positions:
1 Sm 0.000 0.000 0.000
2 Sm 0.153 0.642 0.695
3 Sm 0.847 0.358 0.305
4 Tl 0.351 0.855 0.296
5 Tl 0.500 0.500 0.000
6 Tl 0.649 0.145 0.704
7 Cu 0.245 0.222 0.515
8 Cu 0.755 0.778 0.485

Computed properties:
- V: 195.1 Å³ per cell
- SG: P-1 (2)
- Total DFT energy (no corrections): -31.5 eV/cell

Record 22
# Sm4TlCu2

Crystalline Sm4TlCu2 at its relaxed geometry (GGA-PBE, Alexandria).

a = 9.597 Å, b = 9.597 Å, c = 9.597 Å
α = 30.08°, β = 30.08°, γ = 30.08°
Fractional positions:
1 Sm 0.116 0.116 0.116
2 Sm 0.296 0.296 0.296
3 Sm 0.704 0.704 0.704
4 Sm 0.884 0.884 0.884
5 Tl 0.500 0.500 0.500
6 Cu 0.400 0.400 0.400
7 Cu 0.600 0.600 0.600

Computed properties:
- V: 196.8 Å³ per cell
- SG: R-3m (166)
- Total DFT energy (no corrections): -29.6 eV/cell

Record 23
# Sm3TlCu2

Crystalline Sm3TlCu2 at its relaxed geometry (GGA-PBE, Alexandria).

a = 7.960 Å, b = 7.960 Å, c = 7.960 Å
α = 56.47°, β = 56.47°, γ = 56.47°
Fractional positions:
1 Sm 0.034 0.750 0.466
2 Sm 0.250 0.534 0.966
3 Sm 0.466 0.034 0.750
4 Sm 0.534 0.966 0.250
5 Sm 0.750 0.466 0.034
6 Sm 0.966 0.250 0.534
7 Tl 0.000 0.000 0.000
8 Tl 0.500 0.500 0.500
9 Cu 0.146 0.146 0.146
10 Cu 0.354 0.354 0.354
11 Cu 0.646 0.646 0.646
12 Cu 0.854 0.854 0.854

Computed properties:
- V: 327.5 Å³ per cell
- Relative energy among the computed polymorphs: 166 meV per atom
- SG: R-3c (167)